No. 1
Compound: TeOsAu2
Source: the Alexandria database
Functional: GGA-PBE
Structure: relaxed

Cell: 2.990 4.618 5.708 Å, 90.00 104.62 90.00°
Space group Pm (No. 6)
Unique sites:
1 Te 0.000 0.000 0.000
2 Os 0.891 0.500 0.776
3 Au 0.272 0.000 0.532
4 Au 0.637 0.500 0.274

Summary:
The calculation puts the total energy at -4.566 eV/atom. The calculation puts the uncorrected formation energy at 257 kJ/mol of formula units.

No. 2
Compound: TeOsAu2
Source: the Alexandria database
Functional: GGA-PBE
Structure: relaxed

Cell: 3.081 4.487 12.259 Å, 90.00 90.00 90.00°
Space group Imm2 (No. 44)
Unique sites:
1 Te 0.000 0.000 0.000
2 Os 0.000 0.500 0.330
3 Au 0.000 0.000 0.637
4 Au 0.000 0.500 0.792

Summary:
The calculation puts the total energy at -4.746 eV/atom. The calculation puts the uncorrected formation energy at 187 kJ/mol of formula units.

No. 3
Compound: TeOsAu2
Source: the Alexandria database
Functional: GGA-PBE
Structure: relaxed

Cell: 7.766 7.766 5.343 Å, 90.00 90.00 90.00°
Space group I-42d (No. 122)
Unique sites:
1 Te 0.000 0.000 0.000
2 Os 0.000 0.000 0.500
3 Au 0.233 0.250 0.625

Summary:
The calculation puts the total energy at -4.459 eV/atom. The calculation puts the uncorrected formation energy at 298 kJ/mol of formula units.

No. 4
Compound: TeOs2Au
Source: the Alexandria database
Functional: GGA-PBE
Structure: relaxed

Cell: 9.379 3.001 5.280 Å, 90.00 101.76 90.00°
Space group Cm (No. 8)
Unique sites:
1 Te 0.000 0.000 0.000
2 Os 0.234 0.500 0.251
3 Os 0.468 0.000 0.407
4 Au 0.223 0.000 0.688

Summary:
The calculation puts the total energy at -6.389 eV/atom. The calculation puts the uncorrected formation energy at 321 kJ/mol of formula units.

No. 5
Compound: TeOs2Au
Source: the Alexandria database
Functional: GGA-PBE
Structure: relaxed

Cell: 2.901 4.968 9.740 Å, 90.00 90.00 90.00°
Space group Cmmm (No. 65)
Unique sites:
1 Te 0.000 0.000 0.000
2 Os 0.000 0.500 0.254
3 Au 0.000 0.000 0.500

Summary:
The calculation puts the total energy at -6.082 eV/atom. The calculation puts the uncorrected formation energy at 439 kJ/mol of formula units.

No. 6
Compound: TeOsAu2
Source: the Alexandria database
Functional: GGA-PBE
Structure: relaxed

Cell: 3.087 4.353 12.092 Å, 90.00 90.00 90.00°
Space group Immm (No. 71)
Unique sites:
1 Te 0.000 0.000 0.000
2 Os 0.000 0.000 0.500
3 Au 0.000 0.500 0.199

Summary:
The calculation puts the total energy at -4.562 eV/atom. The calculation puts the uncorrected formation energy at 258 kJ/mol of formula units.

No. 7
Compound: TeOs2Au
Source: the Alexandria database
Functional: GGA-PBE
Structure: relaxed

Cell: 4.016 4.016 19.630 Å, 90.00 90.00 90.00°
Space group I-42d (No. 122)
Unique sites:
1 Te 0.000 0.000 0.000
2 Os 0.169 0.250 0.625
3 Au 0.000 0.000 0.500

Summary:
The calculation puts the total energy at -6.236 eV/atom. The calculation puts the uncorrected formation energy at 380 kJ/mol of formula units.

No. 8
Compound: TeOs2Au
Source: the Alexandria database
Functional: GGA-PBE
Structure: relaxed

Cell: 4.312 4.312 3.622 Å, 90.00 90.00 90.00°
Space group P4/mmm (No. 123)
Unique sites:
1 Te 0.000 0.000 0.000
2 Os 0.000 0.500 0.500
3 Au 0.500 0.500 0.000

Summary:
The calculation puts the total energy at -6.266 eV/atom. The calculation puts the uncorrected formation energy at 368 kJ/mol of formula units.

No. 9
Compound: TeOsAu2
Source: the Alexandria database
Functional: GGA-PBE
Structure: relaxed

Cell: 5.489 10.369 3.549 Å, 90.00 130.01 90.00°
Space group C2/m (No. 12)
Unique sites:
1 Te 0.000 0.000 0.000
2 Os 0.000 0.500 0.000
3 Au 0.250 0.250 0.500

Summary:
The calculation puts the total energy at -4.580 eV/atom. The calculation puts the uncorrected formation energy at 252 kJ/mol of formula units.

No. 10
Compound: TeOs2Au
Source: the Alexandria database
Functional: GGA-PBE
Structure: relaxed

Cell: 2.840 3.609 7.496 Å, 90.00 90.06 90.00°
Space group Pm (No. 6)
Unique sites:
1 Te 0.000 0.000 0.000
2 Os 0.500 0.000 0.442
3 Os 0.999 0.500 0.285
4 Au 0.000 0.500 0.681

Summary:
The calculation puts the total energy at -6.719 eV/atom. The calculation puts the uncorrected formation energy at 193 kJ/mol of formula units.

No. 11
Compound: TeOsAu2
Source: the Alexandria database
Functional: GGA-PBE
Structure: relaxed

Cell: 4.251 4.251 8.158 Å, 90.00 90.00 90.00°
Space group I-4m2 (No. 119)
Unique sites:
1 Te 0.000 0.000 0.000
2 Os 0.000 0.500 0.250
3 Au 0.000 0.000 0.500
4 Au 0.000 0.500 0.750

Summary:
The calculation puts the total energy at -4.534 eV/atom. The calculation puts the uncorrected formation energy at 269 kJ/mol of formula units.

No. 12
Compound: TeOsAu2
Source: the Alexandria database
Functional: GGA-PBE
Structure: relaxed

Cell: 3.009 5.111 10.307 Å, 90.00 90.00 90.00°
Space group Cmm2 (No. 35)
Unique sites:
1 Te 0.000 0.000 0.000
2 Os 0.000 0.500 0.787
3 Au 0.000 0.000 0.558
4 Au 0.000 0.500 0.318

Summary:
The calculation puts the total energy at -4.608 eV/atom. The calculation puts the uncorrected formation energy at 241 kJ/mol of formula units.

No. 13
Compound: TeOsAu2
Source: the Alexandria database
Functional: GGA-PBE
Structure: relaxed

Cell: 3.231 3.809 6.096 Å, 90.00 90.00 90.00°
Space group Pmm2 (No. 25)
Unique sites:
1 Te 0.000 0.000 0.000
2 Os 0.500 0.500 0.811
3 Au 0.000 0.000 0.540
4 Au 0.500 0.500 0.324

Summary:
The calculation puts the total energy at -4.750 eV/atom. The calculation puts the uncorrected formation energy at 186 kJ/mol of formula units.

No. 14
Compound: TeOsAu2
Source: the Alexandria database
Functional: GGA-PBE
Structure: relaxed

Cell: 2.912 4.050 6.549 Å, 90.00 90.00 90.00°
Space group Pmmm (No. 47)
Unique sites:
1 Te 0.000 0.000 0.000
2 Os 0.000 0.000 0.500
3 Au 0.500 0.500 0.283

Summary:
The calculation puts the total energy at -4.449 eV/atom. The calculation puts the uncorrected formation energy at 302 kJ/mol of formula units.

No. 15
Compound: TeOs2Au
Source: the Alexandria database
Functional: GGA-PBE
Structure: relaxed

Cell: 4.642 3.086 5.184 Å, 90.00 112.61 90.00°
Space group P2/m (No. 10)
Unique sites:
1 Te 0.000 0.000 0.000
2 Os 0.500 0.000 0.500
3 Os 0.500 0.500 0.000
4 Au 0.000 0.500 0.500

Summary:
The calculation puts the total energy at -6.363 eV/atom. The calculation puts the uncorrected formation energy at 331 kJ/mol of formula units.

No. 16
Compound: Te3OsAu
Source: the Alexandria database
Functional: GGA-PBE
Structure: relaxed

Cell: 5.222 5.222 5.222 Å, 90.00 90.00 90.00°
Space group Pm-3m (No. 221)
Unique sites:
1 Te 0.000 0.000 0.500
2 Os 0.000 0.000 0.000
3 Au 0.500 0.500 0.500

Summary:
The calculation puts the total energy at -3.915 eV/atom. The calculation puts the offset from the most stable computed form at 0.00 kJ per mole of atoms. The calculation puts the uncorrected formation energy at 420 kJ/mol of formula units.

No. 17
Compound: TeOsAu2
Source: the Alexandria database
Functional: GGA-PBE
Structure: relaxed

Cell: 9.133 3.306 5.165 Å, 90.00 102.05 90.00°
Space group Cm (No. 8)
Unique sites:
1 Te 0.000 0.000 0.000
2 Os 0.223 0.500 0.174
3 Au 0.219 0.000 0.676
4 Au 0.466 0.000 0.456

Summary:
The calculation puts the total energy at -4.646 eV/atom. The calculation puts the uncorrected formation energy at 226 kJ/mol of formula units.

No. 18
Compound: TeOsAu4
Source: the Alexandria database
Functional: GGA-PBE
Structure: relaxed

Cell: 7.796 7.796 7.796 Å, 90.00 90.00 90.00°
Space group F-43m (No. 216)
Unique sites:
1 Te 0.000 0.000 0.000
2 Os 0.250 0.250 0.250
3 Au 0.125 0.125 0.625

Summary:
The calculation puts the total energy at -3.778 eV/atom. The calculation puts the uncorrected formation energy at 464 kJ/mol of formula units.

No. 19
Compound: TeOs2Au
Source: the Alexandria database
Functional: GGA-PBE
Structure: relaxed

Cell: 2.874 5.063 10.205 Å, 90.00 90.00 90.00°
Space group Cmm2 (No. 35)
Unique sites:
1 Te 0.000 0.000 0.000
2 Os 0.000 0.000 0.452
3 Os 0.000 0.500 0.246
4 Au 0.000 0.500 0.696

Summary:
The calculation puts the total energy at -6.364 eV/atom. The calculation puts the uncorrected formation energy at 330 kJ/mol of formula units.

No. 20
Compound: TeOsAu2
Source: the Alexandria database
Functional: GGA-PBE
Structure: relaxed

Cell: 6.671 6.671 6.671 Å, 90.00 90.00 90.00°
Space group F-43m (No. 216)
Unique sites:
1 Te 0.000 0.000 0.000
2 Os 0.250 0.250 0.250
3 Au 0.000 0.000 0.500
4 Au 0.250 0.250 0.750

Summary:
The calculation puts the total energy at -4.504 eV/atom. The calculation puts the uncorrected formation energy at 281 kJ/mol of formula units.

No. 21
Compound: TeOs2Au
Source: the Alexandria database
Functional: GGA-PBE
Structure: relaxed

Cell: 2.955 4.794 4.926 Å, 90.00 90.00 90.00°
Space group Pmmm (No. 47)
Unique sites:
1 Te 0.000 0.000 0.000
2 Os 0.000 0.500 0.500
3 Os 0.500 0.500 0.000
4 Au 0.500 0.000 0.500

Summary:
The calculation puts the total energy at -6.178 eV/atom. The calculation puts the uncorrected formation energy at 402 kJ/mol of formula units.

No. 22
Compound: TeOsAu2
Source: the Alexandria database
Functional: GGA-PBE
Structure: relaxed

Cell: 3.380 5.179 4.399 Å, 90.00 91.37 90.00°
Space group P2/m (No. 10)
Unique sites:
1 Te 0.000 0.000 0.000
2 Os 0.500 0.000 0.500
3 Au 0.256 0.500 0.743

Summary:
The calculation puts the total energy at -4.532 eV/atom. The calculation puts the uncorrected formation energy at 270 kJ/mol of formula units.

No. 23
Compound: TeOs3Au
Source: the Alexandria database
Functional: GGA-PBE
Structure: relaxed

Cell: 4.805 4.805 4.805 Å, 90.00 90.00 90.00°
Space group Pm-3m (No. 221)
Unique sites:
1 Te 0.000 0.000 0.000
2 Os 0.000 0.000 0.500
3 Au 0.500 0.500 0.500

Summary:
The calculation puts the total energy at -5.550 eV/atom. The calculation puts the offset from the most stable computed form at 0.00 kJ per mole of atoms. The calculation puts the uncorrected formation energy at 1192 kJ/mol of formula units.

No. 24
Compound: TeOsAu2
Source: the Alexandria database
Functional: GGA-PBE
Structure: relaxed

Cell: 2.872 5.294 10.359 Å, 90.00 90.00 90.00°
Space group Cmmm (No. 65)
Unique sites:
1 Te 0.000 0.000 0.000
2 Os 0.000 0.000 0.500
3 Au 0.000 0.500 0.273

Summary:
The calculation puts the total energy at -4.494 eV/atom. The calculation puts the uncorrected formation energy at 285 kJ/mol of formula units.

No. 25
Compound: TeOs2Au
Source: the Alexandria database
Functional: GGA-PBE
Structure: relaxed

Cell: 8.462 3.060 5.485 Å, 90.00 100.74 90.00°
Space group C2/m (No. 12)
Unique sites:
1 Te 0.000 0.000 0.000
2 Os 0.249 0.500 0.220
3 Au 0.000 0.500 0.500

Summary:
The calculation puts the total energy at -6.393 eV/atom. The calculation puts the uncorrected formation energy at 319 kJ/mol of formula units.

No. 26
Compound: TeOs2Au
Source: the Alexandria database
Functional: GGA-PBE
Structure: relaxed

Cell: 2.9146 2.9146 30.0088 Å, 90.00 90.00 120.00°
Space group R3m (No. 160, hexagonal axes)
Unique sites:
1 Te 0.0000 0.0000 0.0000
2 Os 0.0000 0.0000 0.4807
3 Os 0.0000 0.0000 0.7483
4 Au 0.0000 0.0000 0.2274

Summary:
The calculation puts the total energy at -6.596 eV/atom. The calculation puts the uncorrected formation energy at 241 kJ/mol of formula units.

No. 27
Compound: TeOs2Au
Source: the Alexandria database
Functional: GGA-PBE
Structure: relaxed

Cell: 4.141 4.141 8.030 Å, 90.00 90.00 90.00°
Space group I-4m2 (No. 119)
Unique sites:
1 Te 0.000 0.000 0.000
2 Os 0.000 0.000 0.500
3 Os 0.000 0.500 0.250
4 Au 0.000 0.500 0.750

Summary:
The calculation puts the total energy at -6.206 eV/atom. The calculation puts the uncorrected formation energy at 391 kJ/mol of formula units.

No. 28
Compound: TeOsAu2
Source: the Alexandria database
Functional: GGA-PBE
Structure: relaxed

Cell: 3.1137 3.1137 28.2198 Å, 90.00 90.00 120.00°
Space group R3m (No. 160, hexagonal axes)
Unique sites:
1 Te 0.0000 0.0000 0.0000
2 Os 0.0000 0.0000 0.2640
3 Au 0.0000 0.0000 0.5199
4 Au 0.0000 0.0000 0.7733

Summary:
The calculation puts the total energy at -4.734 eV/atom. The calculation puts the uncorrected formation energy at 192 kJ/mol of formula units.

No. 29
Compound: TeOs2Au
Source: the Alexandria database
Functional: GGA-PBE
Structure: relaxed

Cell: 3.0751 3.0751 25.2939 Å, 90.00 90.00 120.00°
Space group R-3m (No. 166, hexagonal axes)
Unique sites:
1 Te 0.0000 0.0000 0.0000
2 Os 0.0000 0.0000 0.2543
3 Au 0.0000 0.0000 0.5000

Summary:
The calculation puts the total energy at -6.328 eV/atom. The calculation puts the uncorrected formation energy at 344 kJ/mol of formula units.

No. 30
Compound: TeOsAu2
Source: the Alexandria database
Functional: GGA-PBE
Structure: relaxed

Cell: 2.9494 2.9494 31.1380 Å, 90.00 90.00 120.00°
Space group R-3m (No. 166, hexagonal axes)
Unique sites:
1 Te 0.0000 0.0000 0.0000
2 Os 0.0000 0.0000 0.5000
3 Au 0.0000 0.0000 0.2390

Summary:
The calculation puts the total energy at -4.539 eV/atom. The calculation puts the uncorrected formation energy at 267 kJ/mol of formula units.